{
  "formula": "CePm6YEr2",
  "functional": "PBE-GGA",
  "state": "relaxed",
  "magnetic_moment_mub_per_fu": 1.31,
  "e_tot_ha_per_atom": -0.175,
  "density_g_cm3": 7.00,
  "formation_enthalpy_0k_mev_per_atom": 244,
  "cell": [[-3.354, -4.488, 6.836], [-5.403, -2.043, -3.992], [6.010, -2.761, -0.546]],
  "species": ["Ce", "Pm", "Pm", "Pm", "Pm", "Pm", "Pm", "Y", "Er", "Er"],
  "frac_coords": [[0.000, 0.500, 0.000], [0.418, 0.626, 0.252], [0.201, 0.061, 0.655], [0.799, 0.406, 0.345], [0.201, 0.594, 0.655], [0.799, 0.939, 0.345], [0.582, 0.374, 0.748], [0.500, 0.000, 0.000], [0.163, 0.091, 0.181], [0.837, 0.909, 0.819]]
}



{
  "formula": "CePm2Y5Er",
  "functional": "PBE-GGA",
  "state": "relaxed",
  "magnetic_moment_mub_per_fu": 1.01,
  "e_tot_ha_per_atom": -0.204,
  "density_g_cm3": 5.96,
  "formation_enthalpy_0k_mev_per_atom": 263,
  "cell": [[-4.228, 1.512, 7.324], [5.239, -5.405, 4.140], [4.382, 7.902, -4.141]],
  "species": ["Ce", "Ce", "Pm", "Pm", "Pm", "Pm", "Y", "Y", "Y", "Y", "Y", "Y", "Y", "Y", "Y", "Y", "Er", "Er"],
  "frac_coords": [[0.250, 0.750, 0.500], [0.750, 0.250, 0.500], [0.120, 0.380, 0.000], [0.620, 0.120, 0.000], [0.380, 0.880, 0.000], [0.880, 0.620, 0.000], [0.938, 0.438, 0.281], [0.657, 0.157, 0.719], [0.062, 0.562, 0.719], [0.157, 0.062, 0.719], [0.562, 0.657, 0.719], [0.843, 0.938, 0.281], [0.438, 0.343, 0.281], [0.343, 0.843, 0.281], [0.500, 0.500, 0.000], [0.000, 0.000, 0.000], [0.250, 0.250, 0.500], [0.750, 0.750, 0.500]]
}